No. 1
BaNdO2 after structural relaxation. Source: Alexandria, functional PBE.

Summary:
- Space group: R3m, No. 160
- Calculated total energy: -6.681 eV/atom
- Energy relative to the elements, uncorrected: -10.1 eV per formula unit
- Crystal system: trigonal
- Calculated volume: 19.17 Å³/atom
- M_tot: 0.3 Bohr magnetons per cell

a = 6.954 Å, b = 6.954 Å, c = 6.954 Å
α = 30.48°, β = 30.48°, γ = 30.48°
Sites, in units of the cell vectors:
Ba (0.000, 0.000, 0.000)
Nd (0.174, 0.174, 0.174)
O (0.571, 0.571, 0.571)
O (0.776, 0.776, 0.776)

---

No. 2
Ba2Nd2O5 after structural relaxation. Source: Alexandria, functional PBE.

Summary:
- Space group: Cmce, No. 64
- Calculated total energy: -7.140 eV/atom
- Energy relative to the elements, uncorrected: -26.1 eV per formula unit
- Crystal system: orthorhombic
- Calculated volume: 17.18 Å³/atom
- M_tot: 0.0 Bohr magnetons per cell

a = 7.391 Å, b = 7.391 Å, c = 6.880 Å
α = 90.00°, β = 90.00°, γ = 55.38°
Sites, in units of the cell vectors:
Ba (0.203, 0.203, 0.000)
Ba (0.297, 0.297, 0.500)
Ba (0.703, 0.703, 0.500)
Ba (0.797, 0.797, 0.000)
Nd (0.169, 0.831, 0.669)
Nd (0.331, 0.669, 0.169)
Nd (0.669, 0.331, 0.831)
Nd (0.831, 0.169, 0.331)
O (0.000, 0.000, 0.000)
O (0.037, 0.724, 0.347)
O (0.224, 0.537, 0.847)
O (0.276, 0.963, 0.347)
O (0.463, 0.776, 0.847)
O (0.500, 0.500, 0.500)
O (0.537, 0.224, 0.153)
O (0.724, 0.037, 0.653)
O (0.776, 0.463, 0.153)
O (0.963, 0.276, 0.653)

---

No. 3
BaNdO3 after structural relaxation. Source: Alexandria, functional PBE.

Summary:
- Space group: Pm-3m, No. 221
- Calculated total energy: -6.822 eV/atom
- Energy relative to the elements, uncorrected: -12.5 eV per formula unit
- Crystal system: cubic
- Calculated volume: 18.76 Å³/atom
- M_tot: 0.0 Bohr magnetons per cell

a = 4.543 Å, b = 4.543 Å, c = 4.543 Å
α = 90.00°, β = 90.00°, γ = 90.00°
Sites, in units of the cell vectors:
Ba (0.000, 0.000, 0.000)
Nd (0.500, 0.500, 0.500)
O (0.000, 0.500, 0.500)
O (0.500, 0.000, 0.500)
O (0.500, 0.500, 0.000)

---

No. 4
BaNdO2 after structural relaxation. Source: Alexandria, functional PBE.

Summary:
- Space group: R-3m, No. 166
- Calculated total energy: -6.801 eV/atom
- Energy relative to the elements, uncorrected: -10.6 eV per formula unit
- Crystal system: trigonal
- Calculated volume: 18.67 Å³/atom
- M_tot: 0.0 Bohr magnetons per cell

a = 6.666 Å, b = 6.666 Å, c = 6.666 Å
α = 32.18°, β = 32.18°, γ = 32.18°
Sites, in units of the cell vectors:
Ba (0.000, 0.000, 0.000)
Nd (0.500, 0.500, 0.500)
O (0.232, 0.232, 0.232)
O (0.768, 0.768, 0.768)